1.
# La2Dy3Mg3 PBE-GGA optimized geometry
# Crystal system = orthorhombic
# Calculated density = 5.8 Mg/m³
# Formation enthalpy at 0 K = -34 meV per atom
data_La2Dy3Mg3
_space_group_name_H-M_alt 'I m m m'
_space_group_IT_number 71
_space_group_name_Hall '-I 2 2'
_cell_length_a 3.852
_cell_length_b 5.454
_cell_length_c 22.823
_cell_angle_alpha 90.00
_cell_angle_beta 90.00
_cell_angle_gamma 90.00
loop_
_atom_site_label
_atom_site_fract_x
_atom_site_fract_y
_atom_site_fract_z
_atom_site_occupancy
La1 0.000 0.000 0.233 1
Dy1 0.000 0.000 0.000 1
Dy2 0.000 0.500 0.120 1
Mg1 0.000 0.000 0.500 1
Mg2 0.000 0.500 0.388 1

2.
# LaDy2Mg PBE-GGA optimized geometry
# Crystal system = tetragonal
# Calculated density = 6.6 Mg/m³
# Energy relative to the lowest polymorph listed for this composition = 0.022 eV/f.u.
# Formation enthalpy at 0 K = -20 meV per atom
data_LaDy2Mg
_space_group_name_H-M_alt 'P 4/m m m'
_space_group_IT_number 123
_space_group_name_Hall '-P 4 2'
_cell_length_a 3.741
_cell_length_b 3.741
_cell_length_c 8.809
_cell_angle_alpha 90.00
_cell_angle_beta 90.00
_cell_angle_gamma 90.00
loop_
_atom_site_label
_atom_site_fract_x
_atom_site_fract_y
_atom_site_fract_z
_atom_site_occupancy
La1 0.000 0.000 0.000 1
Dy1 0.500 0.500 0.283 1
Mg1 0.000 0.000 0.500 1